No. 1
A plane-wave DFT calculation with PBE was carried out for a geometry-optimized Sm2MgAu3 structure.

abc: 5.0826 5.0826 12.3018
angles: 90.00 90.00 120.00
Last column: nearest neighbours and their distance in Å.
Atoms (fractional coordinates):
Au1 0.3333 0.6667 0.9193  7 Sm 3.10-3.24, 1 Mg 3.13
Au2 0.3333 0.6667 0.4288  4 Mg 2.90-3.15, 4 Sm 3.03-3.06
Au3 0.0000 0.0000 0.2511  5 Sm 3.05-3.09, 3 Mg 3.11
Au4 0.6667 0.3333 0.5712  4 Mg 2.90-3.15, 4 Sm 3.03-3.06
Au5 0.6667 0.3333 0.0807  7 Sm 3.10-3.24, 1 Mg 3.13
Au6 0.0000 0.0000 0.7489  5 Sm 3.05-3.09, 3 Mg 3.11
Sm1 0.0000 0.0000 0.5000  8 Au 3.06
Sm2 0.6667 0.3333 0.8172  8 Au 3.03-3.24
Sm3 0.0000 0.0000 0.0000  8 Au 3.09-3.10
Sm4 0.3333 0.6667 0.1828  8 Au 3.03-3.24
Mg1 0.3333 0.6667 0.6645  8 Au 2.90-3.15
Mg2 0.6667 0.3333 0.3355  8 Au 2.90-3.15

Computed properties:
The value obtained for the raw total energy is -4.236 eV per atom.

***

No. 2
A plane-wave DFT calculation with PBE was carried out for a geometry-optimized GaRu2CN structure.

abc: 4.7317 3.5191 4.7317
angles: 90.00 90.00 90.00
Last column: nearest neighbours and their distance in Å.
Atoms (fractional coordinates):
C1 0.0000 0.5000 0.0000  2 Ga 1.76
Ru1 0.0000 0.0000 0.5000  2 Ga 2.37
Ru2 0.5000 0.0000 0.0000  2 Ga 2.37
N1 0.5000 0.5000 0.5000  8 Ru 2.95
Ga1 0.0000 0.0000 0.0000  2 C 1.76

Computed properties:
The value obtained for the raw total energy is -5.082 eV per atom.